Compound: La2H2Pt
Source: Alexandria
Functional: PBE-GGA
Structure: relaxed

Summary:
DOS at the Fermi energy in states/eV per atom: 1.053
DFT total energy in eV for the cell shown: -50.56
V in Å³/cell: 171.74
Polymorph energy (0 for the lowest one) in eV per atom: 0.0000

Lattice parameters (Å, degrees): 7.144 7.144 3.366 90.00 90.00 90.00
Space group P4/mbm (No. 127)
Inequivalent atoms, fractional coordinates:
La: 0.179 0.321 0.000
H: 0.113 0.613 0.500
Pt: 0.000 0.000 0.500

---

Compound: AsNClF2
Source: Alexandria
Functional: PBE-GGA
Structure: relaxed

Summary:
DOS at the Fermi energy in states/eV per atom: 0.566
DFT total energy in eV for the cell shown: -13.52
Formation energy from raw total energies in meV per atom: 1010
V in Å³/cell: 71.60
Polymorph energy (0 for the lowest one) in eV per atom: 1.0918

Lattice parameters (Å, degrees): 4.167 4.167 4.124 90.00 90.00 90.00
Space group P4/mmm (No. 123)
Inequivalent atoms, fractional coordinates:
As: 0.000 0.000 0.000
N: 0.500 0.500 0.000
Cl: 0.500 0.500 0.500
F: 0.000 0.500 0.500

---

Compound: YMo
Source: Alexandria
Functional: PBE-GGA
Structure: relaxed

Summary:
DOS at the Fermi energy in states/eV per atom: 1.188
DFT total energy in eV for the cell shown: -93.74
V in Å³/cell: 323.78
Polymorph energy (0 for the lowest one) in eV per atom: 0.7006

Lattice parameters (Å, degrees): 10.6295 10.6295 3.3090 90.00 90.00 120.00
Space group P6_3/m (No. 176)
Inequivalent atoms, fractional coordinates:
Y: 0.0956 0.7772 0.2500
Mo: 0.0915 0.5116 0.2500